BeIr2W | Alexandria | GGA-PBE | optimized geometry; uncorrected energy = -63.8 eV per cell; energy relative to the elements = 0.6200 eV per atom
1.0
5.0124 0.0000 0.0000
0.0000 5.0124 0.0000
2.5062 2.5062 5.7831
W Ir Be
2 4 2
direct
0.7500 0.2500 0.5000
0.0000 0.0000 0.0000
0.1796 0.6250 0.2500
0.3750 0.4296 0.7500
0.8750 0.8204 0.7500
0.5704 0.1250 0.2500
0.5000 0.5000 0.0000
0.2500 0.7500 0.5000